No. 1
AcZnHg3 | PBE | relaxed

Geometry as CIF:
```
data_AcZnHg3
_chemical_formula_sum 'Ac4 Zn4 Hg12'
_symmetry_space_group_name_H-M 'P 1'
_symmetry_Int_Tables_number 1
_cell_length_a 9.1643
_cell_length_b 4.9578
_cell_length_c 11.4215
_cell_angle_alpha 90.00
_cell_angle_beta 90.00
_cell_angle_gamma 90.00
loop_
_symmetry_equiv_pos_as_xyz
'x,y,z'
loop_
_atom_site_label
_atom_site_type_symbol
_atom_site_fract_x
_atom_site_fract_y
_atom_site_fract_z
Ac1 Ac 0.2109 0.2500 0.0013
Ac2 Ac 0.2891 0.7500 0.5013
Ac3 Ac 0.7109 0.2500 0.4987
Ac4 Ac 0.7891 0.7500 0.9987
Zn1 Zn 0.0890 0.2500 0.6409
Zn2 Zn 0.4110 0.7500 0.1409
Zn3 Zn 0.5890 0.2500 0.8591
Zn4 Zn 0.9110 0.7500 0.3591
Hg1 Hg 0.0706 0.2500 0.3938
Hg2 Hg 0.1132 0.7500 0.8192
Hg3 Hg 0.1191 0.7500 0.1889
Hg4 Hg 0.3809 0.2500 0.6889
Hg5 Hg 0.3868 0.2500 0.3192
Hg6 Hg 0.4294 0.7500 0.8938
Hg7 Hg 0.5706 0.2500 0.1062
Hg8 Hg 0.6132 0.7500 0.6808
Hg9 Hg 0.6191 0.7500 0.3111
Hg10 Hg 0.8809 0.2500 0.8111
Hg11 Hg 0.8868 0.2500 0.1808
Hg12 Hg 0.9294 0.7500 0.6062
```

Space group: Pnma
Formation enthalpy at 0 K: -0.302 eV/atom
Crystal system: orthorhombic
Relative energy among the computed polymorphs: 0.00 kcal/mol of atoms
Calculated volume: 25.95 Å³ per atom



No. 2
Cu2PtO4 | PBE | relaxed

Geometry as CIF:
```
data_Cu2PtO4
_chemical_formula_sum 'Cu2 Pt1 O4'
_symmetry_space_group_name_H-M 'P 1'
_symmetry_Int_Tables_number 1
_cell_length_a 5.7166
_cell_length_b 5.7166
_cell_length_c 4.9944
_cell_angle_alpha 111.00
_cell_angle_beta 111.00
_cell_angle_gamma 32.79
loop_
_symmetry_equiv_pos_as_xyz
'x,y,z'
loop_
_atom_site_label
_atom_site_type_symbol
_atom_site_fract_x
_atom_site_fract_y
_atom_site_fract_z
Cu1 Cu 0.1832 0.1832 0.1516
Cu2 Cu 0.8168 0.8168 0.8484
Pt1 Pt 0.5000 0.5000 0.5000
O1 O 0.0915 0.0915 0.4008
O2 O 0.3551 0.3551 0.1036
O3 O 0.6449 0.6449 0.8964
O4 O 0.9085 0.9085 0.5992
```

Space group: C2/m
Crystal system: monoclinic
Formation energy without anion corrections: -0.45 eV per atom
Calculated volume: 11.71 Å³ per atom



No. 3
TcAsBr | PBE | relaxed

Geometry as CIF:
```
data_TcAsBr
_chemical_formula_sum 'Tc1 As1 Br1'
_symmetry_space_group_name_H-M 'P 1'
_symmetry_Int_Tables_number 1
_cell_length_a 8.2539
_cell_length_b 7.9542
_cell_length_c 3.1357
_cell_angle_alpha 84.28
_cell_angle_beta 73.51
_cell_angle_gamma 22.21
loop_
_symmetry_equiv_pos_as_xyz
'x,y,z'
loop_
_atom_site_label
_atom_site_type_symbol
_atom_site_fract_x
_atom_site_fract_y
_atom_site_fract_z
Tc1 Tc 0.0000 0.0000 0.0000
As1 As 0.3794 0.3794 0.6206
Br1 Br 0.6347 0.6347 0.3653
```

Space group: Fmm2
Crystal system: orthorhombic
Formation energy without anion corrections: 0.40 eV per atom
Relative energy among the computed polymorphs: 5.81 kcal/mol of atoms
Calculated volume: 22.22 Å³ per atom



- What is the calculated volume in the second record?
  11.71 Å³ per atom



- Which value of calculated volume does entry 3 give?
  22.22 Å³ per atom



- What is the calculated volume in the first record?
  25.95 Å³ per atom



- Look up the calculated volume of the first one.
  25.95 Å³ per atom